# 1
{"formula": "Dy4Y10Th", "functional": "PBE", "state": "optimized geometry", "lattice": [[-9.319, -2.914, -3.656], [-1.779, -3.019, -7.925], [-3.503, -7.917, 0.373]], "species": ["Y", "Y", "Y", "Y", "Y", "Y", "Y", "Y", "Y", "Y", "Dy", "Dy", "Dy", "Dy", "Th"], "fractional_positions": [[0.872, 0.903, 0.676], [0.775, 0.676, 0.097], [0.225, 0.324, 0.903], [0.250, 0.500, 0.500], [0.451, 0.097, 0.324], [0.548, 0.324, 0.903], [0.128, 0.097, 0.324], [0.452, 0.676, 0.097], [0.549, 0.903, 0.676], [0.750, 0.500, 0.500], [0.334, 0.734, 0.598], [0.068, 0.598, 0.266], [0.932, 0.402, 0.734], [0.666, 0.266, 0.402], [0.000, 0.000, 0.000]], "magmom_total_mub_per_cell": 0.595, "formation_enthalpy_0k_ev_per_atom": 0.394}


# 2
{"formula": "BeCuHg2Br", "functional": "PBE", "state": "optimized geometry", "lattice": [[-3.261, -2.143, -3.441], [3.282, -2.465, -1.576], [-1.161, -3.737, 3.428]], "species": ["Cu", "Br", "Be", "Hg", "Hg"], "fractional_positions": [[0.000, 0.000, 0.000], [0.500, 0.500, 0.500], [0.000, 0.500, 0.000], [0.500, 0.000, 0.000], [0.000, 0.000, 0.500]], "formation_energy_uncorrected_ev_per_fu": 1.702, "magmom_total_mub_per_cell": 0.000}


# 3
{"formula": "NbV3Cl", "functional": "PBE", "state": "optimized geometry", "lattice": [[4.262, 0.000, 0.000], [0.000, 4.262, 0.000], [0.000, 0.000, 4.262]], "species": ["Nb", "V", "V", "V", "Cl"], "fractional_positions": [[0.500, 0.500, 0.500], [0.000, 0.500, 0.000], [0.500, 0.000, 0.000], [0.000, 0.000, 0.500], [0.000, 0.000, 0.000]], "formation_energy_uncorrected_ev_per_fu": 2.441, "magmom_total_mub_per_cell": 0.000, "de_polymorph_ev_per_fu": 0.000}


# 4
{"formula": "ScSi2NiOs", "functional": "PBE", "state": "optimized geometry", "lattice": [[-0.846, -1.497, -3.504], [-2.329, -2.637, 1.690], [-2.229, 5.178, 0.500]], "species": ["Si", "Si", "Sc", "Ni", "Os"], "fractional_positions": [[0.619, 0.619, 0.238], [0.381, 0.381, 0.762], [0.000, 0.000, 0.000], [0.250, 0.750, 0.500], [0.750, 0.250, 0.500]], "formation_energy_uncorrected_ev_per_fu": -3.520, "magmom_total_mub_per_cell": 0.000}


# 5
{"formula": "LiCdAg", "functional": "PBE", "state": "optimized geometry", "lattice": [[-0.873, -2.521, 1.327], [3.813, -0.720, 1.140], [-2.187, 3.885, 2.595]], "species": ["Li", "Ag", "Cd"], "fractional_positions": [[0.339, 0.339, 0.678], [0.994, 0.994, 0.987], [0.668, 0.668, 0.335]], "magmom_total_mub_per_cell": 0.000, "formation_enthalpy_0k_ev_per_atom": -0.199, "de_polymorph_ev_per_fu": 0.035}


# 6
{"formula": "Ac3Zn4In2", "functional": "PBE", "state": "optimized geometry", "lattice": [[4.840, 0.000, 0.000], [-2.420, 5.828, -0.265], [0.000, -2.732, 8.903]], "species": ["Ac", "Ac", "Ac", "In", "In", "Zn", "Zn", "Zn", "Zn"], "fractional_positions": [[0.658, 0.315, 0.678], [0.342, 0.685, 0.322], [0.000, 0.000, 0.000], [0.629, 0.259, 0.293], [0.371, 0.741, 0.707], [0.278, 0.556, 0.952], [0.722, 0.444, 0.048], [0.924, 0.849, 0.584], [0.076, 0.151, 0.416]], "magmom_total_mub_per_cell": 0.000, "formation_enthalpy_0k_ev_per_atom": -0.356}


# 7
{"formula": "Mg2AlAs", "functional": "PBE", "state": "optimized geometry", "lattice": [[0.000, 3.430, 3.430], [3.430, 0.000, 3.430], [3.430, 3.430, 0.000]], "species": ["Al", "As", "Mg", "Mg"], "fractional_positions": [[0.000, 0.000, 0.000], [0.500, 0.500, 0.500], [0.250, 0.250, 0.250], [0.750, 0.750, 0.750]], "magmom_total_mub_per_cell": 0.000, "formation_enthalpy_0k_ev_per_atom": -0.026, "de_polymorph_ev_per_fu": 0.380}


# 8
{"formula": "TcAgF2", "functional": "PBE", "state": "optimized geometry", "lattice": [[-4.911, -1.051, -5.036], [4.862, -3.225, -4.068], [-0.688, -4.602, -3.391]], "species": ["F", "F", "F", "F", "Ag", "Ag", "Tc", "Tc"], "fractional_positions": [[0.517, 0.125, 0.250], [0.875, 0.767, 0.750], [0.375, 0.483, 0.750], [0.233, 0.625, 0.250], [0.000, 0.000, 0.000], [0.750, 0.250, 0.500], [0.250, 0.750, 0.500], [0.500, 0.500, 0.000]], "formation_energy_uncorrected_ev_per_fu": -1.682, "magmom_total_mub_per_cell": 7.963, "de_polymorph_ev_per_fu": 1.861}


# 9
{"formula": "Mn2NbOs", "functional": "PBE", "state": "optimized geometry", "lattice": [[3.905, 0.000, 0.000], [0.000, 6.404, 0.000], [0.000, 0.000, 8.862]], "species": ["Mn", "Mn", "Mn", "Mn", "Mn", "Mn", "Mn", "Mn", "Os", "Os", "Os", "Os", "Nb", "Nb", "Nb", "Nb"], "fractional_positions": [[0.750, 0.798, 0.031], [0.750, 0.053, 0.872], [0.250, 0.947, 0.128], [0.750, 0.553, 0.628], [0.250, 0.202, 0.969], [0.750, 0.298, 0.469], [0.250, 0.447, 0.372], [0.250, 0.702, 0.531], [0.750, 0.457, 0.894], [0.750, 0.957, 0.606], [0.250, 0.543, 0.106], [0.250, 0.043, 0.394], [0.250, 0.263, 0.685], [0.250, 0.763, 0.815], [0.750, 0.737, 0.315], [0.750, 0.237, 0.185]], "magmom_total_mub_per_cell": 0.000, "formation_enthalpy_0k_ev_per_atom": -0.022, "de_polymorph_ev_per_fu": 0.000}


# 10
{"formula": "CuI", "functional": "PBE", "state": "optimized geometry", "lattice": [[11.419, 0.000, 0.000], [0.000, 11.419, 0.000], [0.000, 0.000, 4.105]], "species": ["I", "I", "I", "I", "I", "I", "I", "I", "Cu", "Cu", "Cu", "Cu", "Cu", "Cu", "Cu", "Cu"], "fractional_positions": [[0.736, 0.059, 0.000], [0.764, 0.441, 0.500], [0.559, 0.764, 0.500], [0.264, 0.941, 0.000], [0.941, 0.736, 0.000], [0.236, 0.559, 0.500], [0.059, 0.264, 0.000], [0.441, 0.236, 0.500], [0.093, 0.565, 0.000], [0.593, 0.065, 0.500], [0.565, 0.907, 0.000], [0.907, 0.435, 0.000], [0.435, 0.093, 0.000], [0.935, 0.593, 0.500], [0.407, 0.935, 0.500], [0.065, 0.407, 0.500]], "formation_energy_uncorrected_ev_per_fu": -0.325, "magmom_total_mub_per_cell": 0.000}


# 11
{"formula": "TcTe2HN", "functional": "PBE", "state": "optimized geometry", "lattice": [[5.359, 0.000, 0.000], [0.000, 5.359, 0.000], [0.000, 0.000, 3.693]], "species": ["H", "N", "Te", "Te", "Tc"], "fractional_positions": [[0.500, 0.500, 0.500], [0.000, 0.000, 0.500], [0.000, 0.500, 0.000], [0.500, 0.000, 0.000], [0.000, 0.000, 0.000]], "magmom_total_mub_per_cell": 0.283, "de_polymorph_ev_per_fu": 0.000}


# 12
{"formula": "Pm3CdAg4", "functional": "PBE", "state": "optimized geometry", "lattice": [[3.998, 0.000, 0.000], [0.000, 7.194, -0.826], [-1.999, -2.724, 7.796]], "species": ["Ag", "Ag", "Ag", "Ag", "Pm", "Pm", "Pm", "Cd"], "fractional_positions": [[0.629, 0.825, 0.259], [0.371, 0.175, 0.741], [0.370, 0.566, 0.740], [0.630, 0.434, 0.260], [0.000, 0.500, 0.000], [0.812, 0.813, 0.624], [0.188, 0.187, 0.376], [0.500, 0.000, 0.000]], "magmom_total_mub_per_cell": 0.000, "formation_enthalpy_0k_ev_per_atom": -0.105, "de_polymorph_ev_per_fu": 1.169}